1.
The following is a DFT calculation (PBE-GGA) of PmHo6Tm3Th2 after structural relaxation.

POSCAR file:
```
PmHo6Tm3Th2
1.0
3.0722 -5.3140 0.0000
3.0722 5.3140 0.0000
-2.0495 0.0000 11.5057
Pm Ho Tm Th
1 6 3 2
Cartesian
0.0000 0.0000 0.0000
1.0428 1.7933 2.8812
0.0199 0.0000 8.6256
1.0428 -1.7933 2.8812
3.0520 1.7933 8.6245
4.0749 0.0000 2.8800
3.0520 -1.7933 8.6245
2.0474 3.5460 5.7528
2.0474 0.0000 5.7528
2.0474 -3.5460 5.7528
3.0722 1.7733 0.0000
3.0722 -1.7733 0.0000
```

Space-group type: C2/m
V, Å³ per cell: 375.7
Crystal system: monoclinic
Raw total energy, eV/atom: -5.01
Density, Mg/m³: 9.3
Energy of formation, eV per atom: 0.0338

2.
The following is a DFT calculation (PBE-GGA) of Pm4HoTm2Th after structural relaxation.

POSCAR file:
```
Pm4HoTm2Th
1.0
5.0630 0.0000 0.0000
0.0000 5.0630 0.0000
0.0000 0.0000 10.1732
Pm Ho Tm Th
4 1 2 1
Cartesian
0.0000 2.5315 2.5355
0.0000 2.5315 7.6376
2.5315 0.0000 2.5355
2.5315 0.0000 7.6376
0.0000 0.0000 5.0866
0.0000 0.0000 0.0000
2.5315 2.5315 5.0866
2.5315 2.5315 0.0000
```

Space-group type: P4/mmm
V, Å³ per cell: 260.8
Crystal system: tetragonal
Raw total energy, eV/atom: -4.96
Density, Mg/m³: 8.4
Energy of formation, eV per atom: 0.0314

3.
The following is a DFT calculation (PBE-GGA) of Pm2Ho5TmTh after structural relaxation.

POSCAR file:
```
Pm2Ho5TmTh
1.0
2.8421 -10.7328 0.0000
2.8421 10.7328 0.0000
0.0000 0.0000 9.7503
Pm Ho Tm Th
4 10 2 2
Cartesian
2.8421 8.2852 4.8751
2.8421 7.9194 8.6349
2.8421 -7.9194 3.7597
2.8421 -8.2852 0.0000
2.8421 10.4172 1.8589
2.8421 4.9561 4.9286
2.8421 4.1726 8.7105
2.8421 2.2417 2.1042
2.8421 0.6292 8.9462
2.8421 -0.6292 4.0711
2.8421 -2.2417 6.9794
2.8421 -4.1726 3.8353
2.8421 -4.9561 0.0534
2.8421 -10.4172 6.7341
2.8421 6.6139 1.8713
2.8421 -6.6139 6.7465
2.8421 2.0692 5.8645
2.8421 -2.0692 0.9894
```

Space-group type: Cmc2_1
V, Å³ per cell: 594.8
Crystal system: orthorhombic
Raw total energy, eV/atom: -4.76
Density, Mg/m³: 8.5
Energy of formation, eV per atom: 0.1643

4.
The following is a DFT calculation (PBE-GGA) of PmHo4Tm2Th after structural relaxation.

POSCAR file:
```
PmHo4Tm2Th
1.0
7.0890 0.0000 0.0000
3.5341 6.1532 0.0000
0.0006 0.0022 11.4541
Pm Ho Tm Th
2 8 4 2
Cartesian
0.0000 0.0000 0.0000
3.5445 0.0000 0.0000
1.7566 1.0466 8.5695
3.5189 4.1140 8.5791
3.5225 2.0623 2.8416
5.2953 5.1353 2.9187
5.3284 1.0201 8.5354
7.1012 4.0930 8.6125
7.1048 2.0413 2.8750
8.8671 5.1088 2.8847
1.7674 3.0777 5.7271
3.5448 0.0011 5.7271
5.3116 3.0766 0.0000
5.3119 3.0777 5.7271
0.0003 0.0011 5.7271
1.7671 3.0766 0.0000
```

Space-group type: P-1
V, Å³ per cell: 499.6
Crystal system: triclinic
Raw total energy, eV/atom: -4.93
Density, Mg/m³: 9.1
Energy of formation, eV per atom: 0.0026

5.
The following is a DFT calculation (PBE-GGA) of Pm2HoTm5Th after structural relaxation.

POSCAR file:
```
Pm2HoTm5Th
1.0
-4.3295 4.3295 7.5877
4.3295 -4.3295 7.5877
4.3295 4.3295 -7.5877
Pm Ho Tm Th
4 2 10 2
Cartesian
5.3293 0.9998 0.0000
0.9998 3.3298 0.0000
3.3298 0.9998 7.5877
-0.9998 3.3298 7.5877
4.3295 0.0000 3.7938
0.0000 4.3295 3.7938
0.0000 0.0000 0.0000
2.4871 1.8424 -2.1064
2.4871 -1.8424 5.4812
2.4871 1.8424 2.1064
2.4871 -1.8424 9.6941
0.0000 0.0000 7.5877
1.8424 6.1719 -2.1064
1.8424 2.4871 5.4812
1.8424 6.1719 2.1064
1.8424 2.4871 9.6941
0.0000 0.0000 3.7938
0.0000 0.0000 11.3815
```

Space-group type: I4/mcm
V, Å³ per cell: 568.9
Crystal system: tetragonal
Raw total energy, eV/atom: -4.58
Density, Mg/m³: 8.9
Energy of formation, eV per atom: 0.2965

6.
The following is a DFT calculation (PBE-GGA) of Pm3HoTm6Th2 after structural relaxation.

POSCAR file:
```
Pm3HoTm6Th2
1.0
3.0773 -5.3283 0.0000
3.0773 5.3283 0.0000
-2.0555 0.0000 11.4927
Pm Ho Tm Th
3 1 6 2
Cartesian
0.0000 0.0000 0.0000
3.0773 1.7703 0.0000
3.0773 -1.7703 0.0000
2.0495 0.0000 5.7464
1.0130 1.7970 2.9226
-0.0279 0.0000 8.5727
1.0130 -1.7970 2.9226
3.0861 1.7970 8.5702
4.1270 0.0000 2.9200
3.0861 -1.7970 8.5702
2.0495 3.5524 5.7464
2.0495 -3.5524 5.7464
```

Space-group type: C2/m
V, Å³ per cell: 376.9
Crystal system: monoclinic
Raw total energy, eV/atom: -5.02
Density, Mg/m³: 9.2
Energy of formation, eV per atom: 0.0186